# PBE YTcAu2, optimized geometry
# E, eV per cell: -47.40
# Total magnetization, μB/cell: 0.0
# E_form, kJ/mol of formula units: -31
data_YTcAu2
_space_group_name_H-M_alt 'C m m m'
_space_group_IT_number 65
_space_group_name_Hall '-C 2 2'
_cell_length_a 5.899
_cell_length_b 8.062
_cell_length_c 3.194
_cell_angle_alpha 90.00
_cell_angle_beta 90.00
_cell_angle_gamma 90.00
loop_
_atom_site_label
_atom_site_type_symbol
_atom_site_fract_x
_atom_site_fract_y
_atom_site_fract_z
Y1 Y 0.000 0.000 0.000
Tc1 Tc 0.000 0.500 0.000
Au1 Au 0.250 0.250 0.500